Record 1
{
  "formula": "Co2SiOs",
  "functional": "PBE",
  "state": "optimized geometry",
  "lattice_angstrom": [[4.4389, -0.0041, 0.0000], [1.5446, 4.1615, 0.0000], [-2.9918, -2.0787, 2.5362]],
  "species": ["Co", "Co", "Os", "Si"],
  "fractional_positions": [[0.5000, 0.5000, 0.0000], [0.0000, 0.0000, 0.0000], [0.2500, 0.7500, 0.5000], [0.7500, 0.2500, 0.5000]],
  "energy_ev_per_atom": -7.83,
  "e_form_raw_mev_per_atom": -119
}

Record 2
{
  "formula": "TbCoSi2Os",
  "functional": "PBE",
  "state": "optimized geometry",
  "lattice_angstrom": [[-1.2649, -1.6934, 3.4356], [3.6222, -1.7050, 0.4932], [0.3339, 5.6349, 0.5324]],
  "species": ["Co", "Si", "Si", "Os", "Tb"],
  "fractional_positions": [[0.2500, 0.7500, 0.5000], [0.3723, 0.3723, 0.7446], [0.6277, 0.6277, 0.2554], [0.7500, 0.2500, 0.5000], [0.0000, 0.0000, 0.0000]],
  "energy_ev_per_atom": -7.54,
  "e_form_raw_mev_per_atom": -778
}

Record 3
{
  "formula": "TbCoSi3Os",
  "functional": "PBE",
  "state": "optimized geometry",
  "lattice_angstrom": [[5.3727, 0.0000, 0.0000], [0.0000, 7.3339, 0.0000], [0.0000, -3.6669, 5.4522]],
  "species": ["Si", "Si", "Si", "Si", "Si", "Si", "Co", "Co", "Tb", "Tb", "Os", "Os"],
  "fractional_positions": [[0.0000, 0.7609, 0.0000], [0.0000, 0.2391, 0.0000], [0.5000, 0.2391, 0.0000], [0.5000, 0.7609, 0.0000], [0.2500, 0.2366, 0.4732], [0.7500, 0.7634, 0.5268], [0.7500, 0.9520, 0.9039], [0.2500, 0.0480, 0.0961], [0.7500, 0.2518, 0.5036], [0.2500, 0.7482, 0.4964], [0.2500, 0.4404, 0.8808], [0.7500, 0.5596, 0.1192]],
  "energy_ev_per_atom": -6.88,
  "e_form_raw_mev_per_atom": -339
}

Record 4
{
  "formula": "ThCoSiOs",
  "functional": "PBE",
  "state": "optimized geometry",
  "lattice_angstrom": [[-3.4138, -2.4228, -0.9728], [2.2373, -2.4732, -1.6916], [-0.6154, -1.1277, 4.9682]],
  "species": ["Co", "Th", "Si", "Os"],
  "fractional_positions": [[0.0000, 0.9479, 0.8957], [0.5000, 0.2098, 0.4196], [0.0000, 0.5887, 0.1775], [0.5000, 0.4814, 0.9629]],
  "energy_ev_per_atom": -7.88,
  "e_form_raw_mev_per_atom": -84
}

Record 5
{
  "formula": "ThCoSi2Os",
  "functional": "PBE",
  "state": "optimized geometry",
  "lattice_angstrom": [[4.0906, 0.0000, 0.0000], [0.0000, 4.0906, 0.0000], [-2.0453, -2.0453, 4.9838]],
  "species": ["Co", "Si", "Si", "Os", "Th"],
  "fractional_positions": [[0.7500, 0.2500, 0.5000], [0.3702, 0.3702, 0.7405], [0.6298, 0.6298, 0.2595], [0.2500, 0.7500, 0.5000], [0.0000, 0.0000, 0.0000]],
  "energy_ev_per_atom": -8.11,
  "e_form_raw_mev_per_atom": -786
}

Record 6
{
  "formula": "TiCoSiOs",
  "functional": "PBE",
  "state": "optimized geometry",
  "lattice_angstrom": [[-1.5017, -2.6368, 2.8866], [-1.2334, -3.8440, -1.1148], [2.2479, -3.3386, 1.1580]],
  "species": ["Ti", "Os", "Co", "Si"],
  "fractional_positions": [[0.2500, 0.2500, 0.2500], [0.0000, 0.0000, 0.0000], [0.5000, 0.5000, 0.5000], [0.7500, 0.7500, 0.7500]],
  "energy_ev_per_atom": -8.49,
  "e_form_raw_mev_per_atom": -578
}

Number 1: M_tot 0.0 μB/cell. Number 2: M_tot 0.0 μB/cell. Number 3: M_tot 0.0 μB/cell. Number 4: M_tot 0.5 μB/cell. Number 5: M_tot 0.0 μB/cell. Number 6: M_tot 1.0 μB/cell.